Record 1
Ac5Pr12Tm2 | Alexandria | PBE | optimized geometry; formation enthalpy at 0 K = 0.145 eV per atom
1.0
-1.268 6.085 4.023
-8.899 -1.862 0.010
5.947 -7.960 7.101
Ac Pr Tm
5 12 2
direct
0.755 0.517 0.510 Ac
0.650 0.090 0.300 Ac
0.000 0.500 0.000 Ac
0.350 0.910 0.700 Ac
0.245 0.483 0.490 Ac
0.863 0.957 0.727 Pr
0.452 0.790 0.399 Pr
0.947 0.790 0.399 Pr
0.365 0.375 0.209 Pr
0.844 0.375 0.209 Pr
0.547 0.693 0.093 Pr
0.453 0.307 0.907 Pr
0.635 0.625 0.791 Pr
0.156 0.625 0.791 Pr
0.548 0.210 0.601 Pr
0.053 0.210 0.601 Pr
0.137 0.043 0.273 Pr
0.740 0.000 0.000 Tm
0.260 0.000 0.000 Tm

Record 2
YNiI2N | Alexandria | PBE | optimized geometry; raw formation energy = 94.7 meV/atom; energy above the lowest structure with this stoichiometry = 0.00 kJ per mole of atoms
1.0
5.748 0.000 0.000
0.000 5.748 0.000
0.000 0.000 3.540
I Y N Ni
2 1 1 1
direct
0.000 0.500 0.000 I
0.500 0.000 0.000 I
0.500 0.500 0.500 Y
0.000 0.000 0.500 N
0.000 0.000 0.000 Ni

Record 3
ThSc4Zn | Alexandria | PBE | optimized geometry; formation enthalpy at 0 K = -0.090 eV per atom
1.0
3.348 0.000 0.000
0.000 3.348 0.000
0.000 0.000 12.896
Th Sc Zn
1 4 1
direct
0.000 0.000 0.000 Th
0.500 0.500 0.188 Sc
0.000 0.000 0.630 Sc
0.000 0.000 0.370 Sc
0.500 0.500 0.812 Sc
0.500 0.500 0.500 Zn

Record 4
Ti6In3Hg | Alexandria | PBE | optimized geometry; energy above the lowest structure with this stoichiometry = 0.00 kJ per mole of atoms; formation enthalpy at 0 K = -0.086 eV per atom
1.0
-1.886 -4.304 -1.114
4.770 -0.422 -6.448
4.151 -4.124 8.907
Ti In Hg
12 6 2
direct
0.250 0.453 0.064 Ti
0.750 0.547 0.936 Ti
0.250 0.155 0.165 Ti
0.750 0.845 0.835 Ti
0.250 0.672 0.673 Ti
0.750 0.328 0.327 Ti
0.250 0.254 0.451 Ti
0.750 0.746 0.549 Ti
0.250 0.867 0.261 Ti
0.750 0.133 0.739 Ti
0.250 0.053 0.860 Ti
0.750 0.947 0.140 Ti
0.250 0.553 0.367 In
0.750 0.447 0.633 In
0.250 0.361 0.769 In
0.750 0.639 0.231 In
0.250 0.770 0.970 In
0.750 0.230 0.030 In
0.250 0.961 0.564 Hg
0.750 0.039 0.436 Hg

Record 5
Ga4CoRh5 | Alexandria | PBE | optimized geometry; formation enthalpy at 0 K = -0.527 eV per atom
1.0
3.011 0.000 0.000
0.000 3.011 0.000
0.000 0.000 15.191
Ga Co Rh
4 1 5
direct
0.000 0.000 0.195 Ga
0.000 0.000 0.399 Ga
0.000 0.000 0.601 Ga
0.000 0.000 0.805 Ga
0.000 0.000 0.000 Co
0.500 0.500 0.101 Rh
0.500 0.500 0.300 Rh
0.500 0.500 0.500 Rh
0.500 0.500 0.700 Rh
0.500 0.500 0.899 Rh

Record 6
Cs3ZrTa | Alexandria | PBE | optimized geometry; energy above the lowest structure with this stoichiometry = 0.00 kJ per mole of atoms; formation enthalpy at 0 K = 2.206 eV per atom
1.0
-2.824 6.362 -0.434
-2.415 -1.506 -6.367
-5.902 -2.428 2.813
Cs Zr Ta
3 1 1
direct
0.000 0.500 0.000 Cs
0.000 0.000 0.500 Cs
0.500 0.000 0.000 Cs
0.500 0.500 0.500 Zr
0.000 0.000 0.000 Ta

Record 7
Tl2InCuCl6 | Alexandria | PBE | optimized geometry; raw formation energy = -928.3 meV/atom
1.0
-7.060 -2.874 1.174
-0.268 -2.463 -7.640
3.687 -8.049 2.466
Tl In Cu Cl
4 2 2 12
direct
0.500 0.823 0.258 Tl
0.000 0.177 0.758 Tl
0.500 0.823 0.742 Tl
0.000 0.177 0.242 Tl
0.500 0.272 0.500 In
0.000 0.728 0.000 In
0.000 0.622 0.500 Cu
0.500 0.378 0.000 Cu
0.500 0.233 0.218 Cl
0.500 0.233 0.782 Cl
0.000 0.767 0.282 Cl
0.000 0.767 0.718 Cl
0.266 0.045 0.500 Cl
0.734 0.045 0.500 Cl
0.275 0.505 0.500 Cl
0.725 0.505 0.500 Cl
0.775 0.495 0.000 Cl
0.225 0.495 0.000 Cl
0.234 0.955 0.000 Cl
0.766 0.955 0.000 Cl

Record 8
TbNdNp | Alexandria | PBE | optimized geometry; formation enthalpy at 0 K = 0.245 eV per atom
1.0
-3.192 -1.495 -0.632
2.033 -2.162 -5.152
3.520 -5.612 5.643
Np Nd Tb
2 2 2
direct
0.764 0.135 0.528 Np
0.236 0.865 0.472 Np
0.565 0.792 0.131 Nd
0.435 0.208 0.869 Nd
0.869 0.675 0.738 Tb
0.131 0.325 0.262 Tb

no.,calculated volume (Å³/cell),E_tot (eV per atom)
1,731,-4.43
2,117,-4.64
3,145,-5.76
4,375,-5.67
5,138,-6.12
6,339,-2.39
7,569,-3.19
8,178,-7.20